(1)
The following is a PBE calculation of Nd7Ho4Pu after structural relaxation, from Alexandria via LeMat-Bulk.

Cell lengths 5.536, 6.337, 13.247 Å; angles 75.98, 77.94, 64.10 degrees
Atoms (fractional coordinates):
Nd (0.500, 0.000, 0.000)
Nd (0.360, 0.812, 0.469)
Nd (0.222, 0.451, 0.104)
Nd (0.640, 0.188, 0.531)
Nd (0.778, 0.549, 0.896)
Nd (0.160, 0.939, 0.742)
Nd (0.840, 0.061, 0.258)
Ho (0.547, 0.684, 0.223)
Ho (0.453, 0.316, 0.777)
Ho (0.090, 0.447, 0.374)
Ho (0.910, 0.553, 0.626)
Pu (0.000, 0.000, 0.000)

Summary:
* spin magnetization: 5.89 Bohr magnetons per cell
* raw total energy: -0.1940 hartree per atom
* SG: C2/m (12)

***

(2)
The following is a PBE calculation of Nd3Ho6Pu after structural relaxation, from Alexandria via LeMat-Bulk.

Cell lengths 9.834, 9.834, 6.875 Å; angles 44.34, 44.34, 60.00 degrees
Atoms (fractional coordinates):
Ho (0.914, 0.587, 0.268)
Ho (0.587, 0.231, 0.268)
Ho (0.079, 0.423, 0.752)
Ho (0.746, 0.079, 0.752)
Ho (0.423, 0.746, 0.752)
Ho (0.231, 0.914, 0.268)
Nd (0.635, 0.635, 0.095)
Nd (0.383, 0.383, 0.850)
Nd (0.121, 0.121, 0.638)
Pu (0.881, 0.881, 0.357)

Summary:
* spin magnetization: 7.73 Bohr magnetons per cell
* raw total energy: -0.1961 hartree per atom
* SG: R3 (146)

***

(3)
The following is a PBE calculation of NdHo2Pu after structural relaxation, from Alexandria via LeMat-Bulk.

Cell lengths 3.460, 3.460, 12.461 Å; angles 82.02, 82.02, 60.00 degrees
Atoms (fractional coordinates):
Ho (0.088, 0.088, 0.737)
Ho (0.912, 0.912, 0.263)
Nd (0.500, 0.500, 0.500)
Pu (0.000, 0.000, 0.000)

Summary:
* spin magnetization: 6.43 Bohr magnetons per cell
* raw total energy: -0.2495 hartree per atom
* SG: R-3m (166)
* polymorph energy (0 for the lowest one): 0.175 eV/atom

***

(4)
The following is a PBE calculation of Nd6Ho5Pu after structural relaxation, from Alexandria via LeMat-Bulk.

Cell lengths 5.099, 9.514, 9.514 Å; angles 107.09, 105.56, 105.56 degrees
Atoms (fractional coordinates):
Ho (0.500, 0.834, 0.166)
Ho (0.500, 0.166, 0.834)
Ho (0.500, 0.500, 0.500)
Ho (0.000, 0.334, 0.666)
Ho (0.000, 0.666, 0.334)
Nd (0.747, 0.248, 0.248)
Nd (0.248, 0.413, 0.083)
Nd (0.752, 0.917, 0.587)
Nd (0.752, 0.587, 0.917)
Nd (0.248, 0.083, 0.413)
Nd (0.253, 0.752, 0.752)
Pu (0.000, 0.000, 0.000)

Summary:
* spin magnetization: 6.40 Bohr magnetons per cell
* raw total energy: -0.1997 hartree per atom
* SG: Immm (71)

***

(5)
The following is a PBE calculation of Nd2HoPu after structural relaxation, from Alexandria via LeMat-Bulk.

Cell lengths 5.687, 5.687, 5.687 Å; angles 60.00, 60.00, 60.00 degrees
Atoms (fractional coordinates):
Nd (0.750, 0.750, 0.750)
Nd (0.250, 0.250, 0.250)
Ho (0.000, 0.000, 0.000)
Pu (0.500, 0.500, 0.500)

Summary:
* spin magnetization: 7.56 Bohr magnetons per cell
* raw total energy: -0.2534 hartree per atom
* SG: Fm-3m (225)
* polymorph energy (0 for the lowest one): 0.101 eV/atom

***

(6)
The following is a PBE calculation of Nd5Ho12Pu3 after structural relaxation, from Alexandria via LeMat-Bulk.

Cell lengths 15.931, 15.931, 15.931 Å; angles 109.47, 109.47, 109.47 degrees
Atoms (fractional coordinates):
Nd (0.250, 0.375, 0.625)
Nd (0.625, 0.750, 0.875)
Nd (0.125, 0.375, 0.250)
Nd (0.875, 0.250, 0.625)
Nd (0.000, 0.000, 0.500)
Nd (0.000, 0.500, 0.500)
Nd (0.250, 0.875, 0.125)
Nd (0.000, 0.500, 0.000)
Nd (0.000, 0.000, 0.000)
Nd (0.500, 0.500, 0.500)
Nd (0.375, 0.250, 0.125)
Nd (0.750, 0.125, 0.875)
Nd (0.500, 0.000, 0.500)
Nd (0.125, 0.750, 0.375)
Nd (0.750, 0.625, 0.375)
Nd (0.500, 0.500, 0.000)
Nd (0.500, 0.000, 0.000)
Nd (0.625, 0.875, 0.250)
Nd (0.875, 0.625, 0.750)
Nd (0.375, 0.125, 0.750)
Ho (0.654, 0.233, 0.595)
Ho (0.846, 0.941, 0.079)
Ho (0.138, 0.733, 0.579)
Ho (0.638, 0.559, 0.905)
Ho (0.079, 0.441, 0.846)
Ho (0.905, 0.059, 0.638)
Ho (0.267, 0.862, 0.921)
Ho (0.346, 0.767, 0.405)
Ho (0.405, 0.138, 0.559)
Ho (0.654, 0.421, 0.559)
Ho (0.595, 0.862, 0.441)
Ho (0.138, 0.405, 0.059)
Ho (0.421, 0.654, 0.059)
Ho (0.733, 0.595, 0.154)
Ho (0.733, 0.138, 0.079)
Ho (0.421, 0.767, 0.862)
Ho (0.941, 0.095, 0.862)
Ho (0.441, 0.079, 0.346)
Ho (0.595, 0.733, 0.654)
Ho (0.441, 0.362, 0.595)
Ho (0.767, 0.346, 0.905)
Ho (0.921, 0.559, 0.154)
Ho (0.079, 0.638, 0.733)
Ho (0.767, 0.421, 0.362)
Ho (0.405, 0.267, 0.346)
Ho (0.579, 0.233, 0.138)
Ho (0.095, 0.154, 0.233)
Ho (0.362, 0.441, 0.095)
Ho (0.154, 0.095, 0.733)
Ho (0.579, 0.346, 0.941)
Ho (0.233, 0.654, 0.095)
Ho (0.362, 0.921, 0.767)
Ho (0.638, 0.079, 0.233)
Ho (0.233, 0.579, 0.638)
Ho (0.154, 0.059, 0.921)
Ho (0.559, 0.921, 0.654)
Ho (0.267, 0.405, 0.846)
Ho (0.941, 0.846, 0.579)
Ho (0.346, 0.579, 0.441)
Ho (0.905, 0.846, 0.767)
Ho (0.059, 0.905, 0.138)
Ho (0.559, 0.638, 0.405)
Ho (0.862, 0.267, 0.421)
Ho (0.059, 0.154, 0.421)
Ho (0.095, 0.941, 0.362)
Ho (0.846, 0.905, 0.267)
Ho (0.862, 0.595, 0.941)
Ho (0.921, 0.362, 0.267)
Pu (0.875, 0.750, 0.125)
Pu (0.750, 0.875, 0.625)
Pu (0.125, 0.875, 0.750)
Pu (0.250, 0.125, 0.375)
Pu (0.625, 0.375, 0.750)
Pu (0.250, 0.625, 0.875)
Pu (0.125, 0.250, 0.875)
Pu (0.750, 0.375, 0.125)
Pu (0.625, 0.250, 0.375)
Pu (0.375, 0.625, 0.250)
Pu (0.875, 0.125, 0.250)
Pu (0.375, 0.750, 0.625)

Summary:
* spin magnetization: 82.20 Bohr magnetons per cell
* raw total energy: -0.1859 hartree per atom
* SG: Ia-3d (230)

***

(7)
The following is a PBE calculation of Nd6Ho8Pu after structural relaxation, from Alexandria via LeMat-Bulk.

Cell lengths 8.649, 8.649, 8.649 Å; angles 63.33, 63.33, 63.33 degrees
Atoms (fractional coordinates):
Nd (0.777, 0.894, 0.455)
Nd (0.545, 0.223, 0.106)
Nd (0.106, 0.545, 0.223)
Nd (0.223, 0.106, 0.545)
Nd (0.455, 0.777, 0.894)
Nd (0.894, 0.455, 0.777)
Ho (0.576, 0.576, 0.576)
Ho (0.754, 0.111, 0.715)
Ho (0.424, 0.424, 0.424)
Ho (0.111, 0.715, 0.754)
Ho (0.285, 0.246, 0.889)
Ho (0.246, 0.889, 0.285)
Ho (0.715, 0.754, 0.111)
Ho (0.889, 0.285, 0.246)
Pu (0.000, 0.000, 0.000)

Summary:
* spin magnetization: 6.46 Bohr magnetons per cell
* raw total energy: -0.1907 hartree per atom
* SG: R-3 (148)

***

(8)
The following is a PBE calculation of Nd4Ho3Pu after structural relaxation, from Alexandria via LeMat-Bulk.

Cell lengths 3.478, 11.644, 8.889 Å; angles 130.92, 101.28, 90.00 degrees
Atoms (fractional coordinates):
Nd (0.631, 0.379, 0.261)
Nd (0.631, 0.882, 0.261)
Nd (0.369, 0.118, 0.739)
Nd (0.369, 0.621, 0.739)
Ho (0.000, 0.500, 0.000)
Ho (0.767, 0.767, 0.534)
Ho (0.233, 0.233, 0.466)
Pu (0.500, 0.000, 0.000)

Summary:
* spin magnetization: 6.42 Bohr magnetons per cell
* raw total energy: -0.2108 hartree per atom
* SG: Immm (71)

***

Question: What is the formula in the fourth record?
Answer: Nd6Ho5Pu